# 1
# InAg2I (PBE, relaxed)
# **Formation energy from raw total energies**: -0.026 eV per atom
# **E above lowest polymorph**: 0.18 eV/f.u.
data_InAg2I
_chemical_formula_sum 'In2 Ag4 I2'
_space_group_name_H-M_alt 'P 1'
_space_group_IT_number 1
_cell_length_a 4.485
_cell_length_b 5.806
_cell_length_c 8.497
_cell_angle_alpha 100.56
_cell_angle_beta 90.47
_cell_angle_gamma 90.55
loop_
_space_group_symop_operation_xyz
'x,y,z'
loop_
_atom_site_label
_atom_site_type_symbol
_atom_site_fract_x
_atom_site_fract_y
_atom_site_fract_z
_atom_site_occupancy
In1 In 0.000 0.000 0.000 1
In2 In 0.000 0.387 0.670 1
Ag1 Ag 0.001 0.516 0.026 1
Ag2 Ag 0.492 0.705 0.848 1
Ag3 Ag 0.501 0.226 0.876 1
Ag4 Ag 0.517 0.788 0.187 1
I1 I 0.225 0.310 0.314 1
I2 I 0.674 0.868 0.541 1

# 2
# LiEr2WN4 (PBE, relaxed)
# **Formation energy from raw total energies**: -1.122 eV per atom
data_LiEr2WN4
_chemical_formula_sum 'Li4 Er8 W4 N16'
_space_group_name_H-M_alt 'F m m 2'
_space_group_IT_number 42
_space_group_name_Hall 'F 2 -2'
_cell_length_a 6.595
_cell_length_b 9.393
_cell_length_c 6.696
_cell_angle_alpha 90.00
_cell_angle_beta 90.00
_cell_angle_gamma 90.00
loop_
_atom_site_label
_atom_site_type_symbol
_atom_site_fract_x
_atom_site_fract_y
_atom_site_fract_z
_atom_site_occupancy
Li1 Li 0.000 0.000 0.000 1
Er1 Er 0.250 0.250 0.245 1
W1 W 0.000 0.000 0.553 1
N1 N 0.000 0.211 0.487 1
N2 N 0.227 0.000 0.725 1

# 3
# SrPm2PuAs4 (PBE, relaxed)
# **Calculated formation energy**: -1226 meV per atom
data_SrPm2PuAs4
_chemical_formula_sum 'Sr1 Pm2 Pu1 As4'
_space_group_name_H-M_alt 'P 1 2/m 1'
_space_group_IT_number 10
_cell_length_a 7.378
_cell_length_b 4.262
_cell_length_c 7.385
_cell_angle_alpha 90.00
_cell_angle_beta 109.16
_cell_angle_gamma 90.00
loop_
_space_group_symop_operation_xyz
'x,y,z'
'-x,-y,-z'
'-x,y,-z'
'x,-y,z'
loop_
_atom_site_label
_atom_site_type_symbol
_atom_site_fract_x
_atom_site_fract_y
_atom_site_fract_z
_atom_site_occupancy
Sr1 Sr 0.000 0.000 0.000 1
Pm1 Pm 0.500 0.000 0.500 1
Pm2 Pm 0.500 0.500 0.000 1
Pu1 Pu 0.000 0.500 0.500 1
As1 As 0.247 0.000 0.737 1
As2 As 0.255 0.500 0.266 1

# 4
# SiB2Te (PBE, relaxed)
# **Formation energy from raw total energies**: 1.640 eV per atom
# **E above lowest polymorph**: 5.43 eV/f.u.
data_SiB2Te
_chemical_formula_sum 'Si4 B8 Te4'
_space_group_name_H-M_alt 'F m -3 m'
_space_group_IT_number 225
_space_group_name_Hall '-F 4 2 3'
_cell_length_a 5.991
_cell_length_b 5.991
_cell_length_c 5.991
_cell_angle_alpha 90.00
_cell_angle_beta 90.00
_cell_angle_gamma 90.00
loop_
_atom_site_label
_atom_site_type_symbol
_atom_site_fract_x
_atom_site_fract_y
_atom_site_fract_z
_atom_site_occupancy
Si1 Si 0.000 0.000 0.000 1
B1 B 0.250 0.250 0.250 1
Te1 Te 0.000 0.000 0.500 1

Energy, respectively: -2.524; -8.283; -6.740; -3.840 eV per atom.
Total moment, respectively: 0.000; 0.000; 4.219; 0.000 Bohr magnetons per cell.